## A
Entry from the Alexandria database: a relaxed structure of DyThGe (PBE).

a = 3.8667 Å, b = 3.8667 Å, c = 10.5375 Å
α = 90.00°, β = 90.00°, γ = 90.00°
Last column: nearest neighbours and their distance in Å.
Space group I4mm (No. 107)
Inequivalent atoms, fractional coordinates:
Dy  0.0000  0.0000  0.0000 x2  1 Th 3.06, 4 Ge 3.07
Th  0.0000  0.0000  0.2902 x2  1 Dy 3.06, 4 Ge 3.20
Ge  0.0000  0.0000  0.6316 x2  4 Dy 3.07, 4 Th 3.20

Calculated values
Mass density (Mg/m³): 9.85
Volume (A^3/atom): 26.26
Fermi-level density of states (states/eV/f.u.): 3.89

## B
Entry from the Alexandria database: a relaxed structure of DyThGe (PBE).

a = 4.8392 Å, b = 4.8392 Å, c = 4.0812 Å
α = 90.00°, β = 90.00°, γ = 120.00°
Last column: nearest neighbours and their distance in Å.
Space group P3m1 (No. 156)
Inequivalent atoms, fractional coordinates:
Dy  0.0000  0.0000  0.0000 x1  3 Ge 2.86
Th  0.6667  0.3333  0.5111 x1  3 Ge 3.15, 6 Dy 3.43-3.49
Ge  0.3333  0.6667  0.1538 x1  3 Dy 2.86, 3 Th 3.15

Calculated values
Mass density (Mg/m³): 9.37
Volume (A^3/atom): 27.59
Fermi-level density of states (states/eV/f.u.): 3.13

Which structure is the most stable? The one labeled A.

## A
Entry from the Alexandria database: a relaxed structure of DyTl2Ge (PBE).

a = 3.4920 Å, b = 3.4920 Å, c = 32.9176 Å
α = 90.00°, β = 90.00°, γ = 120.00°
Last column: nearest neighbours and their distance in Å.
Space group R-3m (No. 166, hexagonal axes)
Inequivalent atoms, fractional coordinates:
Dy  0.0000  0.0000  0.0000 x3  2 Tl 3.12, 6 Dy 3.49
Tl  0.0000  0.0000  0.0948 x6  3 Ge 3.11, 1 Dy 3.12
Ge  0.0000  0.0000  0.5000 x3  6 Tl 3.11

Calculated values
Mass density (Mg/m³): 9.23
Volume (A^3/atom): 28.97
Fermi-level density of states (states/eV/f.u.): 1.63

## B
Entry from the Alexandria database: a relaxed structure of DyTl2Ge (PBE).

a = 4.4289 Å, b = 4.4289 Å, c = 5.0762 Å
α = 90.00°, β = 90.00°, γ = 90.00°
Last column: nearest neighbours and their distance in Å.
Space group P4/mmm (No. 123)
Inequivalent atoms, fractional coordinates:
Dy  0.0000  0.0000  0.0000 x1  4 Ge 3.13, 8 Tl 3.37
Tl  0.0000  0.5000  0.5000 x2  4 Tl 3.13, 4 Ge 3.37, 4 Dy 3.37
Ge  0.5000  0.5000  0.0000 x1  4 Dy 3.13, 8 Tl 3.37

Calculated values
Mass density (Mg/m³): 10.74
Volume (A^3/atom): 24.89
Fermi-level density of states (states/eV/f.u.): 2.21

Which structure is the most stable? The one labeled B.

## A
Entry from the Alexandria database: a relaxed structure of DyUGe2 (PBE).

a = 3.3116 Å, b = 3.3116 Å, c = 7.9816 Å
α = 90.00°, β = 90.00°, γ = 90.00°
Last column: nearest neighbours and their distance in Å.
Space group P4/mmm (No. 123)
Inequivalent atoms, fractional coordinates:
Dy  0.0000  0.0000  0.0000 x1  8 Ge 3.08, 4 Dy 3.31
U  0.0000  0.0000  0.5000 x1  8 Ge 3.07, 4 U 3.31
Ge  0.5000  0.5000  0.2516 x2  4 U 3.07, 4 Dy 3.08, 4 Ge 3.31

Calculated values
Mass density (Mg/m³): 10.35
Volume (A^3/atom): 21.88
Fermi-level density of states (states/eV/f.u.): 7.01

## B
Entry from the Alexandria database: a relaxed structure of DyUGe2 (PBE).

a = 4.1447 Å, b = 4.1447 Å, c = 19.8792 Å
α = 90.00°, β = 90.00°, γ = 120.00°
Last column: nearest neighbours and their distance in Å.
Space group R-3m (No. 166, hexagonal axes)
Inequivalent atoms, fractional coordinates:
Dy  0.0000  0.0000  0.0000 x3  6 Ge 2.97
U  0.0000  0.0000  0.5000 x3  6 Ge 2.86
Ge  0.0000  0.0000  0.2450 x6  3 U 2.86, 3 Dy 2.97

Calculated values
Mass density (Mg/m³): 9.19
Volume (A^3/atom): 24.65
Fermi-level density of states (states/eV/f.u.): 6.31

Which structure is the most stable? The one labeled B.